[1]
This record from OQMD via LeMat-Bulk describes a relaxed structure of LaTb2TlCd3In2. The functional is PBE.

Values from the calculation:
Calculated volume   238.2 Å³ per cell
Density   8.56 Mg/m³
Space-group type   No. 38

Structure (extended XYZ):
```
9
Lattice="-3.893 -2.436 -1.060 4.276 -5.298 -3.529 -1.641 -0.625 7.465" Properties=species:S:1:pos:R:3 pbc="T T T"
Tb -0.931 -0.370 4.269
Cd -0.881 -2.543 -1.398
Tl 2.612 -5.873 3.902
In 0.389 -4.990 -0.440
La 1.133 -2.547 1.692
Cd -2.349 -1.384 1.329
Tb 2.446 -3.036 -2.006
In -1.639 -3.389 3.329
Cd 0.024 -5.649 2.414
```



[2]
This record from OQMD via LeMat-Bulk describes a relaxed structure of LuMgAuSe2S. The functional is PBE.

Values from the calculation:
Calculated volume   259.0 Å³ per cell
Density   7.52 Mg/m³
Space-group type   No. 63

Structure (extended XYZ):
```
12
Lattice="1.909 -6.495 0.000 1.909 6.495 0.000 0.000 0.000 10.448" Properties=species:S:1:pos:R:3 pbc="T T T"
Se 1.909 -1.967 0.668
S 1.909 -5.022 2.612
Mg 1.909 -3.323 7.836
Au 1.909 -0.273 2.612
Se 1.909 1.967 5.892
S 1.909 5.022 7.836
Se 1.909 -1.967 4.556
Au 1.909 0.273 7.836
Mg 1.909 3.323 2.612
Lu 0.000 0.000 0.000
Se 1.909 1.967 9.780
Lu 0.000 0.000 5.224
```



no.,energy (Ha/atom)
1,-0.11554
2,-0.16263